[1]
First-principles (PBE-GGA) data for crystalline CaNp2P3 at its relaxed geometry, as listed in the Alexandria database.

Cell and atoms, written as POSCAR:
```
CaNp2P3
1.0
3.883 -0.118 -1.004
-0.452 5.090 -2.348
-0.274 0.073 6.945
P Np Ca
3 2 1
Cartesian
1.715 2.486 -1.676 P
2.638 4.125 1.698 P
0.519 0.920 1.895 P
2.911 1.663 3.043 Np
0.245 3.382 0.549 Np
1.941 -0.059 -0.502 Ca
```

Calculated values
Calculated density in Mg/m³: 7.405
ΔE_f in eV/atom: -0.94
Crystal system: orthorhombic
N(E_F) in states/eV/cell: 18.9
Total magnetization in μB per atom: 1.17

[2]
First-principles (PBE-GGA) data for crystalline Ca5NpP4 at its relaxed geometry, as listed in the Alexandria database.

Cell and atoms, written as POSCAR:
```
Ca5NpP4
1.0
-1.222 -3.170 2.359
3.128 -5.209 -5.379
7.380 3.051 4.296
P Ca Np
4 5 1
Cartesian
7.424 -3.765 -1.214 P
1.862 -1.564 2.490 P
2.410 -3.945 -4.054 P
6.876 -1.383 5.329 P
6.094 -4.145 1.212 Ca
0.953 -4.189 -1.510 Ca
4.317 -1.378 4.010 Ca
3.192 -1.183 0.064 Ca
4.970 -3.950 -2.735 Ca
-0.611 -1.585 1.179 Np
```

Calculated values
Calculated density in Mg/m³: 3.226
ΔE_f in eV/atom: -0.90
Crystal system: monoclinic
N(E_F) in states/eV/cell: 13.3
Total magnetization in μB per atom: 0.36

[3]
First-principles (PBE-GGA) data for crystalline Ca3Np2PaP6 at its relaxed geometry, as listed in the Alexandria database.

Cell and atoms, written as POSCAR:
```
Ca3Np2PaP6
1.0
-6.604 0.324 -2.377
5.331 -0.701 -4.522
-0.062 -6.467 2.749
Np P Pa Ca
2 6 1 3
Cartesian
1.353 -0.360 -3.807 Np
-2.625 -0.018 -3.092 Np
-0.374 -5.094 0.357 P
-2.302 -1.392 -0.687 P
-0.961 -1.750 -4.508 P
1.659 -1.732 -1.399 P
0.968 -5.453 -3.464 P
-2.993 -5.113 -2.752 P
0.000 0.000 0.000 Pa
-4.643 -3.081 -1.361 Ca
-0.667 -3.422 -2.075 Ca
3.309 -3.764 -2.790 Ca
```

Calculated values
Calculated density in Mg/m³: 5.927
ΔE_f in eV/atom: -1.09
Crystal system: monoclinic
N(E_F) in states/eV/cell: 18.0
Total magnetization in μB per atom: 0.58

[4]
First-principles (PBE-GGA) data for crystalline Ca3NpPa2P6 at its relaxed geometry, as listed in the Alexandria database.

Cell and atoms, written as POSCAR:
```
Ca3NpPa2P6
1.0
-3.817 5.903 -0.224
-1.673 -5.428 -4.148
-2.153 -2.554 6.198
Np P Pa Ca
1 6 2 3
Cartesian
0.000 0.000 0.000 Np
-4.554 -0.236 -1.806 P
-1.479 -2.381 -0.310 P
-6.164 0.302 2.137 P
-5.441 -3.520 0.813 P
-2.202 1.441 1.013 P
-3.089 -1.843 3.633 P
-2.388 -1.652 -2.840 Pa
-3.103 2.127 -1.532 Pa
-3.822 -1.039 0.913 Ca
-3.106 -4.821 -0.396 Ca
-4.537 2.742 2.223 Ca
```

Calculated values
Calculated density in Mg/m³: 5.868
ΔE_f in eV/atom: -1.18
Crystal system: monoclinic
N(E_F) in states/eV/cell: 11.8
Total magnetization in μB per atom: 0.38

[5]
First-principles (PBE-GGA) data for crystalline Ca4NpPa3P8 at its relaxed geometry, as listed in the Alexandria database.

Cell and atoms, written as POSCAR:
```
Ca4NpPa3P8
1.0
8.116 0.000 0.000
0.000 8.118 -0.005
-4.058 -4.053 5.742
P Pa Ca Np
8 3 4 1
Cartesian
2.008 1.932 5.651 P
0.000 3.938 2.809 P
-2.008 1.932 5.651 P
4.058 0.127 2.928 P
0.000 0.108 2.944 P
6.066 2.133 0.087 P
2.050 2.133 0.087 P
4.058 3.957 2.793 P
2.029 2.033 2.869 Pa
4.058 4.059 -0.002 Pa
-2.029 2.033 2.869 Pa
4.058 0.000 0.000 Ca
0.000 0.000 0.000 Ca
-2.029 -2.027 2.871 Ca
2.029 -2.027 2.871 Ca
0.000 4.059 -0.002 Np
```

Calculated values
Calculated density in Mg/m³: 5.876
ΔE_f in eV/atom: -1.19
Crystal system: trigonal
N(E_F) in states/eV/cell: 16.2
Total magnetization in μB per atom: 0.32

[6]
First-principles (PBE-GGA) data for crystalline CaPm2NpP4 at its relaxed geometry, as listed in the Alexandria database.

Cell and atoms, written as POSCAR:
```
CaPm2NpP4
1.0
-1.827 -3.229 1.707
-0.331 -3.144 -6.303
6.055 -1.766 3.142
Pm P Ca Np
2 4 1 1
Cartesian
2.862 -2.455 -1.581 Pm
2.114 -2.498 2.424 Pm
1.212 -2.823 -4.044 P
4.513 -2.088 0.883 P
3.442 -5.356 -1.562 P
0.455 -2.783 0.107 P
-1.079 -3.187 -2.298 Ca
0.000 0.000 0.000 Np
```

Calculated values
Calculated density in Mg/m³: 5.983
ΔE_f in eV/atom: -1.24
Crystal system: monoclinic
N(E_F) in states/eV/cell: 9.8
Total magnetization in μB per atom: 0.37

[7]
First-principles (PBE-GGA) data for crystalline CaPr2NpP4 at its relaxed geometry, as listed in the Alexandria database.

Cell and atoms, written as POSCAR:
```
CaPr2NpP4
1.0
-1.578 0.130 3.808
-5.575 -3.850 -2.179
5.116 -4.382 2.270
Ca P Np Pr
1 4 1 2
Cartesian
-3.577 -1.860 0.814 Ca
-1.136 -6.234 1.976 P
-3.030 -3.971 -1.120 P
2.571 -4.261 1.212 P
-0.902 -1.868 1.923 P
0.000 0.000 0.000 Np
1.769 -2.126 3.039 Pr
-0.230 -4.116 0.046 Pr
```

Calculated values
Calculated density in Mg/m³: 5.753
ΔE_f in eV/atom: -1.21
Crystal system: monoclinic
N(E_F) in states/eV/cell: 10.0
Total magnetization in μB per atom: 0.37

[8]
First-principles (PBE-GGA) data for crystalline Ca2PrNpP4 at its relaxed geometry, as listed in the Alexandria database.

Cell and atoms, written as POSCAR:
```
Ca2PrNpP4
1.0
4.126 0.000 0.000
0.000 7.126 0.132
0.000 -2.480 6.624
Pr P Np Ca
1 4 1 2
Cartesian
0.000 0.000 0.000 Pr
2.063 1.316 1.587 P
0.000 4.618 1.602 P
0.000 0.027 5.153 P
2.063 3.330 5.168 P
2.063 3.563 0.066 Np
2.063 -1.240 3.312 Ca
0.000 2.323 3.378 Ca
```

Calculated values
Calculated density in Mg/m³: 4.928
ΔE_f in eV/atom: -1.10
Crystal system: monoclinic
N(E_F) in states/eV/cell: 6.4
Total magnetization in μB per atom: 0.25